(1)
DFT (PBE) results for a geometry-optimized ZnBiPCl2 structure.

Output
The total magnetization comes out at 0.000 μB per atom. The uncorrected formation energy comes out at -0.20 eV/f.u.

Unit cell a=4.6881 b=4.6881 c=5.1484 alpha=90.00 beta=90.00 gamma=90.00
Fractional positions:
Zn 0.0000 0.0000 0.0000
Bi 0.5000 0.5000 0.5000
P 0.0000 0.0000 0.5000
Cl 0.0000 0.5000 0.0000
Cl 0.5000 0.0000 0.0000

(2)
DFT (PBE) results for a geometry-optimized LiCuOs structure.

Output
The total magnetization comes out at 0.000 μB per atom. The formation energy comes out at 0.188 eV/atom.

Unit cell a=2.6340 b=2.6340 c=6.7410 alpha=90.00 beta=90.00 gamma=120.00
Fractional positions:
Li 0.0000 0.0000 0.0000
Cu 0.3333 0.6667 0.6706
Os 0.6667 0.3333 0.3403

(3)
DFT (PBE) results for a geometry-optimized CsSrP structure.

Output
The total magnetization comes out at 0.000 μB per atom. The formation energy comes out at -0.433 eV/atom.

Unit cell a=5.9198 b=6.0612 c=8.3298 alpha=97.96 beta=101.24 gamma=90.96
Fractional positions:
Cs 0.0000 0.0000 0.0000
Cs 0.4967 0.5175 0.0320
Sr 0.3645 0.9124 0.5005
Sr 0.8587 0.3993 0.4952
P 0.5808 0.0614 0.2412
P 0.8398 0.8757 0.4021

(4)
DFT (PBE) results for a geometry-optimized NaTlAuCl3 structure.

Output
The total magnetization comes out at 0.000 μB per atom. The uncorrected formation energy comes out at -5.49 eV/f.u.

Unit cell a=9.3938 b=9.3938 c=6.2989 alpha=95.88 beta=95.88 gamma=44.25
Fractional positions:
Na 0.0702 0.0702 0.1730
Na 0.9298 0.9298 0.8270
Tl 0.2397 0.2397 0.7649
Tl 0.7603 0.7603 0.2351
Au 0.2633 0.7367 0.5000
Au 0.7367 0.2633 0.5000
Cl 0.1717 0.6714 0.1820
Cl 0.2185 0.2185 0.2789
Cl 0.3286 0.8283 0.8180
Cl 0.6714 0.1717 0.1820
Cl 0.7815 0.7815 0.7211
Cl 0.8283 0.3286 0.8180

(5)
DFT (PBE) results for a geometry-optimized Re2Pt structure.

Output
The total magnetization comes out at 0.000 μB per atom. The formation energy comes out at 0.198 eV/atom.

Unit cell a=4.4638 b=4.4638 c=2.6792 alpha=90.00 beta=90.00 gamma=120.00
Fractional positions:
Re 0.3333 0.6667 0.0801
Re 0.6667 0.3333 0.9199
Pt 0.0000 0.0000 0.5000

(6)
DFT (PBE) results for a geometry-optimized HoScP structure.

Output
The total magnetization comes out at 0.003 μB per atom. The formation energy comes out at -0.924 eV/atom.

Unit cell a=3.7751 b=3.7751 c=6.0475 alpha=90.00 beta=90.00 gamma=120.00
Fractional positions:
Ho 0.0000 0.0000 0.0000
Sc 0.3333 0.6667 0.5033
P 0.6667 0.3333 0.2731